## w
The following is a PBE-GGA calculation of a relaxed SeSOF2 crystal, from Alexandria via LeMat-Bulk.

Unit cell a=4.446 b=4.446 c=3.779 alpha=90.00 beta=90.00 gamma=90.00
Fractional positions:
Se (0.000, 0.000, 0.000)
S (0.500, 0.500, 0.500)
O (0.000, 0.000, 0.500)
F (0.000, 0.500, 0.000)
F (0.500, 0.000, 0.000)

Values from the calculation:
* space group: No. 123
* spin magnetization: 0.4825 μB/atom

## x
The following is a PBE-GGA calculation of a relaxed SeSOF2 crystal, from Alexandria via LeMat-Bulk.

Unit cell a=4.660 b=4.660 c=3.390 alpha=90.00 beta=90.00 gamma=90.00
Fractional positions:
Se (0.000, 0.000, 0.000)
S (0.500, 0.500, 0.500)
O (0.500, 0.500, 0.000)
F (0.000, 0.500, 0.500)
F (0.500, 0.000, 0.500)

Values from the calculation:
* space group: No. 123
* spin magnetization: 0.4420 μB/atom

Winner for stability: w